No. 1
CoO2 | the Alexandria database | PBE+U | relaxed; calculated volume = 31.8 Å³/f.u.; SG = Imma; Fermi-level density of states = 0.11 states/eV per atom; uncorrected energy = -0.4039 Ry/atom
1.0
-2.8258 2.8312 3.9800
2.8258 -2.8312 3.9800
2.8258 2.8312 -3.9800
Co O
4 8
direct
0.0000 0.0000 0.0000 Co
0.3836 0.6336 0.7500 Co
0.5000 0.0000 0.5000 Co
0.6164 0.3664 0.2500 Co
0.2394 0.2301 0.0093 O
0.2495 0.2230 0.4735 O
0.2495 0.7760 0.0265 O
0.2791 0.7699 0.5093 O
0.7209 0.2301 0.4907 O
0.7505 0.2240 0.9735 O
0.7505 0.7770 0.5265 O
0.7606 0.7699 0.9907 O

=====

No. 2
CoO | the Alexandria database | PBE+U | relaxed; calculated volume = 31.0 Å³/f.u.; SG = I-43m; uncorrected energy = -0.4339 Ry/atom
1.0
-3.1425 3.1425 3.1425
3.1425 -3.1425 3.1425
3.1425 3.1425 -3.1425
Co O
4 4
direct
0.0000 0.0000 0.3257 Co
0.0000 0.3257 0.0000 Co
0.3257 0.0000 0.0000 Co
0.6743 0.6743 0.6743 Co
0.0000 0.0000 0.6754 O
0.0000 0.6754 0.0000 O
0.3246 0.3246 0.3246 O
0.6754 0.0000 0.0000 O

=====

No. 3
Co29O40 | the Alexandria database | PBE+U | relaxed; calculated volume = 675.3 Å³/f.u.; SG = P1; Fermi-level density of states = 0.18 states/eV per atom; uncorrected energy = -0.4437 Ry/atom
1.0
8.1455 0.0000 0.0000
4.0708 9.1052 0.0000
4.0695 0.0009 9.1058
Co O
29 40
direct
0.0000 0.0000 0.0000 Co
0.9995 0.5001 0.0000 Co
0.0010 0.9997 0.4996 Co
0.0768 0.4481 0.6496 Co
0.1008 0.0987 0.6986 Co
0.1256 0.7522 0.7476 Co
0.1993 0.1986 0.4007 Co
0.1998 0.1993 0.9000 Co
0.2013 0.7002 0.3995 Co
0.2729 0.6490 0.0514 Co
0.2990 0.2998 0.1005 Co
0.3260 0.9490 0.1524 Co
0.3987 0.3995 0.3002 Co
0.3996 0.3996 0.7999 Co
0.4004 0.8986 0.7999 Co
0.4987 0.5012 0.4988 Co
0.5241 0.1470 0.5494 Co
0.5981 0.6005 0.2018 Co
0.5988 0.6027 0.6984 Co
0.5996 0.0984 0.2009 Co
0.6739 0.0498 0.8501 Co
0.7004 0.6995 0.9007 Co
0.7250 0.3494 0.9513 Co
0.7989 0.2998 0.6001 Co
0.7989 0.7991 0.6002 Co
0.7988 0.8007 0.1011 Co
0.8745 0.2501 0.2496 Co
0.8977 0.8996 0.3009 Co
0.9222 0.5530 0.3495 Co
0.0258 0.8163 0.1053 O
0.0417 0.8055 0.5828 O
0.0460 0.2837 0.5949 O
0.0685 0.3055 0.0834 O
0.1303 0.8945 0.3165 O
0.1525 0.9164 0.8059 O
0.1583 0.3943 0.8162 O
0.1723 0.3844 0.2949 O
0.2134 0.0237 0.5077 O
0.2417 0.0052 0.9843 O
0.2468 0.4832 0.9942 O
0.2684 0.5053 0.4838 O
0.3306 0.0930 0.7169 O
0.3520 0.1166 0.2059 O
0.3577 0.5941 0.2161 O
0.3746 0.5847 0.6950 O
0.4246 0.2167 0.9054 O
0.4405 0.2051 0.3837 O
0.4456 0.6778 0.3923 O
0.4693 0.7029 0.8840 O
0.5297 0.2947 0.1166 O
0.5521 0.3153 0.6057 O
0.5605 0.7892 0.6222 O
0.5753 0.7830 0.0940 O
0.6242 0.4160 0.3059 O
0.6411 0.4061 0.7836 O
0.6473 0.8825 0.7951 O
0.6779 0.9078 0.2758 O
0.7302 0.4957 0.5170 O
0.7532 0.5160 0.0051 O
0.7581 0.9948 0.0158 O
0.7737 0.9822 0.4950 O
0.8253 0.6140 0.7056 O
0.8410 0.6056 0.1833 O
0.8467 0.0836 0.1948 O
0.8678 0.1058 0.6836 O
0.9314 0.6944 0.9152 O
0.9516 0.7167 0.4058 O
0.9562 0.1951 0.4167 O
0.9742 0.1835 0.8946 O

=====

No. 4
CoO2 | the Alexandria database | PBE+U | relaxed; calculated volume = 32.4 Å³/f.u.; SG = R3m; Fermi-level density of states = 0.15 states/eV per atom; uncorrected energy = -0.4110 Ry/atom
1.0
2.8275 1.6324 4.6851
-2.8275 1.6324 4.6851
0.0000 -3.2649 4.6851
Co O
4 8
direct
0.0000 0.0000 0.0000 Co
0.3820 0.3820 0.8658 Co
0.3820 0.8658 0.3820 Co
0.8658 0.3820 0.3820 Co
0.1169 0.1169 0.6077 O
0.1169 0.6077 0.1169 O
0.1366 0.1366 0.1366 O
0.1782 0.6238 0.6238 O
0.6077 0.1169 0.1169 O
0.6151 0.6151 0.6151 O
0.6238 0.1782 0.6238 O
0.6238 0.6238 0.1782 O

=====

no.,density (g/cm³)
1,4.74
2,4.01
3,5.78
4,4.66